## Nd4CuAu (GGA-PBE)

Data for a relaxed Nd4CuAu crystal.

Formation enthalpy at 0 K ... -160 meV/atom
Uncorrected energy ... -54.81 eV per cell
Crystal system ... monoclinic

a b c (Å): 7.0588 7.4929 7.1034
angles (deg): 90.00 93.86 90.00
Last column: nearest neighbours and their distance in Å.
Fractional positions:
1 Nd 0.8763 0.6552 0.1598  1 Cu 2.77, 2 Au 2.98-3.05
2 Nd 0.6237 0.1552 0.8402  1 Cu 2.77, 2 Au 2.98-3.05
3 Nd 0.3309 0.3390 0.3441  2 Cu 2.91-2.99, 1 Au 3.04
4 Nd 0.1691 0.8390 0.6559  2 Cu 2.91-2.99, 1 Au 3.04
5 Nd 0.1237 0.3448 0.8402  1 Cu 2.77, 2 Au 2.98-3.05
6 Nd 0.3763 0.8448 0.1598  1 Cu 2.77, 2 Au 2.98-3.05
7 Nd 0.6691 0.6610 0.6559  2 Cu 2.91-2.99, 1 Au 3.04
8 Nd 0.8309 0.1610 0.3441  2 Cu 2.91-2.99, 1 Au 3.04
9 Cu 0.5000 0.0000 0.5000  6 Nd 2.77-2.99
10 Cu 0.0000 0.5000 0.5000  6 Nd 2.77-2.99
11 Au 0.0000 0.0000 0.0000  6 Nd 2.98-3.05
12 Au 0.5000 0.5000 0.0000  6 Nd 2.98-3.05